# K2YTe (GGA-PBE, relaxed)
data_K2YTe
_chemical_formula_sum 'K4 Y2 Te2'
_space_group_name_H-M_alt 'P 1'
_space_group_IT_number 1
_cell_length_a 12.0470
_cell_length_b 12.0470
_cell_length_c 9.0171
_cell_angle_alpha 48.09
_cell_angle_beta 48.09
_cell_angle_gamma 90.00
loop_
_space_group_symop_operation_xyz
'x,y,z'
loop_
_atom_site_label
_atom_site_fract_x
_atom_site_fract_y
_atom_site_fract_z
Y1 0.5000 0.5000 0.0000
Y2 0.2500 0.7500 0.5000
K1 0.7383 0.1250 0.2500
K2 0.0117 0.6250 0.2500
K3 0.3750 0.2617 0.7500
K4 0.8750 0.9883 0.7500
Te1 0.0000 0.0000 0.0000
Te2 0.7500 0.2500 0.5000
# V = 53.6 A^3/atom
# Total DFT energy (no corrections) = -3.165 eV/atom
# Formation energy from raw total energies = -0.215 eV/atom
# Space group = I-42d
# Crystal system = tetragonal
# Total magnetic moment = 1.776 Bohr magnetons per cell